Entry 1:
A geometry-optimized Cs3CaI4 structure. Source: Alexandria, functional PBE.

DOS at the Fermi energy in states/eV/cell: 3.5
Formation energy (no corrections) in eV/atom: -1.341
Space group: Pmn2_1
Theoretical density in g cm⁻³: 3.38

a = 8.002 Å, b = 7.880 Å, c = 14.746 Å
α = 90.00°, β = 90.00°, γ = 90.00°
Positions (direct):
1 Cs 0.542 0.758 0.000
2 Cs 0.048 0.740 0.252
3 Cs 0.548 0.260 0.248
4 Cs 0.042 0.242 0.500
5 Cs 0.548 0.260 0.752
6 Cs 0.048 0.740 0.748
7 Ca 0.053 0.239 0.000
8 Ca 0.553 0.761 0.500
9 I 0.053 0.843 0.000
10 I 0.667 0.276 0.000
11 I 0.052 0.243 0.222
12 I 0.552 0.757 0.278
13 I 0.167 0.724 0.500
14 I 0.553 0.157 0.500
15 I 0.552 0.757 0.722
16 I 0.052 0.243 0.778


Entry 2:
A geometry-optimized CsCaI4 structure. Source: Alexandria, functional PBE.

DOS at the Fermi energy in states/eV/cell: 8.4
Formation energy (no corrections) in eV/atom: -1.176
Space group: C2/c
Theoretical density in g cm⁻³: 4.01

a = 8.120 Å, b = 11.799 Å, c = 9.133 Å
α = 49.76°, β = 69.66°, γ = 57.44°
Positions (direct):
1 Cs 0.750 0.376 0.247
2 Cs 0.250 0.624 0.753
3 Ca 0.250 0.000 0.000
4 Ca 0.750 0.000 0.000
5 I 0.802 0.322 0.842
6 I 0.123 0.028 0.670
7 I 0.698 0.836 0.842
8 I 0.377 0.302 0.670
9 I 0.623 0.698 0.330
10 I 0.302 0.164 0.158
11 I 0.877 0.972 0.330
12 I 0.198 0.678 0.158


Entry 3:
A geometry-optimized CsCa2I structure. Source: Alexandria, functional PBE.

DOS at the Fermi energy in states/eV/cell: 2.0
Formation energy (no corrections) in eV/atom: 0.021
Space group: Fm-3m
Theoretical density in g cm⁻³: 2.77

a = 6.609 Å, b = 6.609 Å, c = 6.609 Å
α = 60.00°, β = 60.00°, γ = 60.00°
Positions (direct):
1 Cs 0.500 0.500 0.500
2 I 0.000 0.000 0.000
3 Ca 0.250 0.250 0.250
4 Ca 0.750 0.750 0.750


Entry 4:
A geometry-optimized CsCaI2 structure. Source: Alexandria, functional PBE.

DOS at the Fermi energy in states/eV/cell: 3.0
Formation energy (no corrections) in eV/atom: -1.183
Space group: R-3m
Theoretical density in g cm⁻³: 3.88

a = 4.644 Å, b = 4.644 Å, c = 10.136 Å
α = 76.76°, β = 76.76°, γ = 60.00°
Positions (direct):
1 Cs 0.500 0.500 0.500
2 I 0.273 0.273 0.182
3 I 0.727 0.727 0.818
4 Ca 0.000 0.000 0.000


Entry 5:
A geometry-optimized Cs12Ca3I5 structure. Source: Alexandria, functional PBE.

DOS at the Fermi energy in states/eV/cell: 73.5
Formation energy (no corrections) in eV/atom: -0.537
Space group: Ia-3d
Theoretical density in g cm⁻³: 2.15

a = 21.142 Å, b = 21.142 Å, c = 21.142 Å
α = 109.47°, β = 109.47°, γ = 109.47°
Positions (direct):
1 Ca 0.750 0.375 0.125
2 Ca 0.875 0.750 0.125
3 Ca 0.375 0.750 0.625
4 Ca 0.250 0.125 0.375
5 Ca 0.875 0.125 0.250
6 Ca 0.375 0.625 0.250
7 Ca 0.625 0.375 0.750
8 Ca 0.125 0.875 0.750
9 Ca 0.750 0.875 0.625
10 Ca 0.625 0.250 0.375
11 Ca 0.125 0.250 0.875
12 Ca 0.250 0.625 0.875
13 I 0.125 0.375 0.250
14 I 0.000 0.500 0.000
15 I 0.000 0.000 0.000
16 I 0.375 0.250 0.125
17 I 0.500 0.000 0.500
18 I 0.500 0.500 0.000
19 I 0.125 0.750 0.375
20 I 0.750 0.125 0.875
21 I 0.750 0.625 0.375
22 I 0.375 0.125 0.750
23 I 0.625 0.875 0.250
24 I 0.500 0.500 0.500
25 I 0.500 0.000 0.000
26 I 0.000 0.000 0.500
27 I 0.250 0.375 0.625
28 I 0.250 0.875 0.125
29 I 0.000 0.500 0.500
30 I 0.875 0.250 0.625
31 I 0.625 0.750 0.875
32 I 0.875 0.625 0.750
33 Cs 0.707 0.121 0.032
34 Cs 0.325 0.532 0.411
35 Cs 0.968 0.379 0.293
36 Cs 0.532 0.207 0.121
37 Cs 0.586 0.707 0.675
38 Cs 0.968 0.589 0.175
39 Cs 0.325 0.793 0.414
40 Cs 0.089 0.914 0.121
41 Cs 0.589 0.968 0.675
42 Cs 0.707 0.586 0.175
43 Cs 0.793 0.468 0.379
44 Cs 0.825 0.911 0.032
45 Cs 0.121 0.707 0.532
46 Cs 0.379 0.411 0.086
47 Cs 0.086 0.911 0.379
48 Cs 0.414 0.121 0.589
49 Cs 0.086 0.175 0.207
50 Cs 0.468 0.675 0.089
51 Cs 0.825 0.914 0.293
52 Cs 0.121 0.414 0.089
53 Cs 0.379 0.968 0.793
54 Cs 0.589 0.621 0.414
55 Cs 0.911 0.825 0.532
56 Cs 0.793 0.325 0.914
57 Cs 0.411 0.379 0.586
58 Cs 0.089 0.175 0.468
59 Cs 0.207 0.675 0.086
60 Cs 0.175 0.086 0.707
61 Cs 0.621 0.032 0.207
62 Cs 0.879 0.586 0.911
63 Cs 0.532 0.325 0.911
64 Cs 0.586 0.879 0.411
65 Cs 0.914 0.825 0.793
66 Cs 0.914 0.089 0.621
67 Cs 0.879 0.293 0.468
68 Cs 0.175 0.089 0.968
69 Cs 0.621 0.589 0.914
70 Cs 0.411 0.032 0.325
71 Cs 0.293 0.414 0.825
72 Cs 0.207 0.532 0.621
73 Cs 0.911 0.086 0.879
74 Cs 0.675 0.207 0.586
75 Cs 0.468 0.793 0.879
76 Cs 0.032 0.411 0.825
77 Cs 0.414 0.293 0.325
78 Cs 0.032 0.621 0.707
79 Cs 0.675 0.468 0.589
80 Cs 0.293 0.879 0.968


Entry 6:
A geometry-optimized Cs4Ca3I10 structure. Source: Alexandria, functional PBE.

DOS at the Fermi energy in states/eV/cell: 0.0
Formation energy (no corrections) in eV/atom: -1.590
Space group: I4/mmm
Theoretical density in g cm⁻³: 3.76

a = 6.213 Å, b = 6.213 Å, c = 22.440 Å
α = 97.96°, β = 97.96°, γ = 90.00°
Positions (direct):
1 Cs 0.569 0.569 0.138
2 Cs 0.431 0.431 0.862
3 Cs 0.300 0.300 0.600
4 Cs 0.700 0.700 0.400
5 Ca 0.143 0.143 0.286
6 Ca 0.857 0.857 0.714
7 Ca 0.000 0.000 0.000
8 I 0.139 0.639 0.277
9 I 0.071 0.071 0.141
10 I 0.639 0.139 0.277
11 I 0.861 0.361 0.723
12 I 0.361 0.861 0.723
13 I 0.929 0.929 0.859
14 I 0.213 0.213 0.425
15 I 0.787 0.787 0.575
16 I 0.000 0.500 0.000
17 I 0.500 0.000 0.000


Entry 7:
A geometry-optimized CsCaI structure. Source: Alexandria, functional PBE.

DOS at the Fermi energy in states/eV/cell: 4.9
Formation energy (no corrections) in eV/atom: -0.684
Space group: Amm2
Theoretical density in g cm⁻³: 3.22

a = 4.455 Å, b = 4.458 Å, c = 17.980 Å
α = 90.00°, β = 90.00°, γ = 119.98°
Positions (direct):
1 Ca 0.612 0.224 0.000
2 Ca 0.278 0.555 0.500
3 Cs 0.610 0.220 0.285
4 Cs 0.610 0.220 0.715
5 I 0.278 0.557 0.888
6 I 0.278 0.557 0.112


Entry 8:
A geometry-optimized CsCa2I2 structure. Source: Alexandria, functional PBE.

Excess energy over the best structure of this formula in the dataset in eV/f.u.: 0.00
DOS at the Fermi energy in states/eV/cell: 6.0
Formation energy (no corrections) in eV/atom: -0.796
Space group: I4/mmm
Theoretical density in g cm⁻³: 3.24

a = 5.856 Å, b = 5.856 Å, c = 8.105 Å
α = 68.82°, β = 68.82°, γ = 90.00°
Positions (direct):
1 Cs 0.000 0.000 0.000
2 I 0.750 0.250 0.500
3 I 0.250 0.750 0.500
4 Ca 0.369 0.369 0.262
5 Ca 0.631 0.631 0.738


Entry 9:
A geometry-optimized Cs2KCaI5 structure. Source: Alexandria, functional PBE.

DOS at the Fermi energy in states/eV/cell: 0.0
Formation energy (no corrections) in eV/atom: -1.510
Space group: Immm
Theoretical density in g cm⁻³: 3.34

a = 6.028 Å, b = 8.739 Å, c = 10.667 Å
α = 114.18°, β = 106.41°, γ = 90.00°
Positions (direct):
1 Cs 0.205 0.205 0.411
2 Cs 0.795 0.795 0.589
3 K 0.000 0.500 0.000
4 Ca 0.500 0.000 0.000
5 I 0.621 0.867 0.243
6 I 0.379 0.133 0.757
7 I 0.379 0.624 0.757
8 I 0.621 0.376 0.243
9 I 0.000 0.000 0.000


Entry 10:
A geometry-optimized Cs3K3CaI8 structure. Source: Alexandria, functional PBE.

DOS at the Fermi energy in states/eV/cell: 0.0
Formation energy (no corrections) in eV/atom: -1.537
Space group: R-3m
Theoretical density in g cm⁻³: 3.19

a = 10.302 Å, b = 10.303 Å, c = 10.701 Å
α = 118.77°, β = 90.00°, γ = 120.00°
Positions (direct):
1 Cs 0.000 0.000 0.000
2 Cs 0.000 0.500 0.000
3 Cs 0.500 0.500 0.000
4 K 0.500 0.000 0.500
5 K 0.500 0.500 0.500
6 K 0.000 0.500 0.500
7 Ca 0.000 0.000 0.500
8 I 0.258 0.517 0.276
9 I 0.742 0.483 0.724
10 I 0.784 0.569 0.298
11 I 0.216 0.431 0.702
12 I 0.784 0.013 0.298
13 I 0.216 0.987 0.702
14 I 0.229 0.013 0.298
15 I 0.771 0.987 0.702


Entry 11:
A geometry-optimized CsCa2LaI8 structure. Source: Alexandria, functional PBE.

DOS at the Fermi energy in states/eV/cell: 0.0
Formation energy (no corrections) in eV/atom: -1.508
Space group: P-1
Theoretical density in g cm⁻³: 3.88

a = 7.853 Å, b = 7.472 Å, c = 9.968 Å
α = 89.93°, β = 89.95°, γ = 89.40°
Positions (direct):
1 Cs 0.000 0.000 0.500
2 Ca 0.500 0.500 0.747
3 Ca 0.500 0.500 0.253
4 La 0.000 0.000 0.000
5 I 0.169 0.740 0.212
6 I 0.664 0.739 0.000
7 I 0.831 0.259 0.212
8 I 0.831 0.260 0.788
9 I 0.336 0.261 0.000
10 I 0.169 0.741 0.788
11 I 0.610 0.731 0.500
12 I 0.390 0.269 0.500


Entry 12:
A geometry-optimized Cs2CaLaI6 structure. Source: Alexandria, functional PBE.

DOS at the Fermi energy in states/eV/cell: 6.2
Formation energy (no corrections) in eV/atom: -1.454
Space group: Fm-3m
Theoretical density in g cm⁻³: 4.01

a = 8.909 Å, b = 8.909 Å, c = 8.908 Å
α = 60.00°, β = 60.00°, γ = 90.00°
Positions (direct):
1 Cs 0.750 0.250 0.500
2 Cs 0.250 0.750 0.500
3 I 0.254 0.254 0.493
4 I 0.746 0.746 0.507
5 I 0.254 0.254 0.000
6 I 0.746 0.746 0.000
7 I 0.746 0.254 0.000
8 I 0.254 0.746 0.000
9 Ca 0.500 0.500 0.000
10 La 0.000 0.000 0.000


Entry 13:
A geometry-optimized CsCaLaI6 structure. Source: Alexandria, functional PBE.

DOS at the Fermi energy in states/eV/cell: 0.0
Formation energy (no corrections) in eV/atom: -1.498
Space group: Imma
Theoretical density in g cm⁻³: 3.22

a = 11.352 Å, b = 11.739 Å, c = 11.650 Å
α = 120.25°, β = 119.16°, γ = 90.00°
Positions (direct):
1 Cs 0.956 0.706 0.912
2 Cs 0.044 0.294 0.088
3 Ca 0.500 0.000 0.500
4 Ca 0.000 0.000 0.500
5 La 0.500 0.500 0.000
6 La 0.500 0.000 0.000
7 I 0.423 0.673 0.846
8 I 0.818 0.068 0.637
9 I 0.830 0.067 0.242
10 I 0.412 0.675 0.242
11 I 0.412 0.067 0.242
12 I 0.830 0.675 0.242
13 I 0.577 0.327 0.154
14 I 0.182 0.932 0.363
15 I 0.170 0.933 0.758
16 I 0.588 0.325 0.758
17 I 0.588 0.933 0.758
18 I 0.170 0.325 0.758


Entry 14:
A geometry-optimized Cs2LiCaI5 structure. Source: Alexandria, functional PBE.

DOS at the Fermi energy in states/eV/cell: 0.0
Formation energy (no corrections) in eV/atom: -1.506
Space group: Cmc2_1
Theoretical density in g cm⁻³: 3.68

a = 4.810 Å, b = 11.695 Å, c = 15.529 Å
α = 90.00°, β = 90.00°, γ = 101.87°
Positions (direct):
1 Cs 0.877 0.754 0.809
2 Cs 0.114 0.229 0.685
3 Cs 0.123 0.246 0.309
4 Cs 0.886 0.771 0.185
5 Li 0.574 0.147 0.942
6 Li 0.426 0.853 0.442
7 Ca 0.791 0.583 0.519
8 Ca 0.209 0.417 0.019
9 I 0.343 0.686 0.000
10 I 0.693 0.387 0.881
11 I 0.508 0.015 0.796
12 I 0.286 0.571 0.655
13 I 0.929 0.857 0.536
14 I 0.657 0.314 0.500
15 I 0.307 0.613 0.381
16 I 0.492 0.985 0.296
17 I 0.714 0.429 0.155
18 I 0.071 0.143 0.036


Entry 15:
A geometry-optimized Cs3Li2CaI6 structure. Source: Alexandria, functional PBE.

DOS at the Fermi energy in states/eV/cell: 2.9
Formation energy (no corrections) in eV/atom: -1.278
Space group: P-3m1
Theoretical density in g cm⁻³: 3.13

a = 8.680 Å, b = 8.680 Å, c = 9.873 Å
α = 90.00°, β = 90.00°, γ = 120.00°
Positions (direct):
1 Cs 0.333 0.667 0.642
2 Cs 0.667 0.333 0.358
3 Cs 0.000 0.000 0.000
4 Li 0.667 0.333 0.798
5 Li 0.333 0.667 0.202
6 Ca 0.000 0.000 0.500
7 I 0.667 0.834 0.308
8 I 0.166 0.333 0.308
9 I 0.166 0.834 0.308
10 I 0.834 0.667 0.692
11 I 0.333 0.166 0.692
12 I 0.834 0.166 0.692


Entry 16:
A geometry-optimized CsLiCaI4 structure. Source: Alexandria, functional PBE.

DOS at the Fermi energy in states/eV/cell: 0.0
Formation energy (no corrections) in eV/atom: -1.451
Space group: P2_1/m
Theoretical density in g cm⁻³: 3.75

a = 7.579 Å, b = 8.177 Å, c = 10.482 Å
α = 90.00°, β = 110.20°, γ = 90.00°
Positions (direct):
1 Cs 0.759 0.750 0.949
2 Cs 0.241 0.250 0.051
3 Li 0.230 0.750 0.333
4 Li 0.770 0.250 0.667
5 Ca 0.786 0.750 0.448
6 Ca 0.214 0.250 0.552
7 I 0.025 0.504 0.701
8 I 0.975 0.004 0.299
9 I 0.975 0.496 0.299
10 I 0.025 0.996 0.701
11 I 0.430 0.750 0.162
12 I 0.570 0.250 0.838
13 I 0.483 0.750 0.583
14 I 0.517 0.250 0.417


Entry 17:
A geometry-optimized Cs2LiCaI6 structure. Source: Alexandria, functional PBE.

DOS at the Fermi energy in states/eV/cell: 14.2
Formation energy (no corrections) in eV/atom: -1.282
Space group: Fm-3m
Theoretical density in g cm⁻³: 4.01

a = 8.565 Å, b = 8.565 Å, c = 8.568 Å
α = 60.01°, β = 60.01°, γ = 90.00°
Positions (direct):
1 Cs 0.750 0.250 0.500
2 Cs 0.250 0.750 0.500
3 I 0.256 0.256 0.488
4 I 0.744 0.744 0.512
5 I 0.256 0.256 0.000
6 I 0.744 0.744 0.000
7 I 0.744 0.256 0.000
8 I 0.256 0.744 0.000
9 Ca 0.000 0.000 0.000
10 Li 0.500 0.500 0.000


Entry 18:
A geometry-optimized CsLi4Ca3I12 structure. Source: Alexandria, functional PBE.

DOS at the Fermi energy in states/eV/cell: 20.4
Formation energy (no corrections) in eV/atom: -1.275
Space group: R32
Theoretical density in g cm⁻³: 3.32

a = 10.442 Å, b = 10.442 Å, c = 10.442 Å
α = 108.63°, β = 108.63°, γ = 108.63°
Positions (direct):
1 Cs 0.000 0.000 0.000
2 Li 0.930 0.070 0.500
3 Li 0.070 0.500 0.930
4 Li 0.500 0.930 0.070
5 Li 0.500 0.500 0.500
6 Ca 0.563 0.437 0.000
7 Ca 0.437 0.000 0.563
8 Ca 0.000 0.563 0.437
9 I 0.500 0.341 0.659
10 I 0.907 0.500 0.093
11 I 0.093 0.907 0.500
12 I 0.500 0.093 0.907
13 I 0.340 0.941 0.228
14 I 0.228 0.340 0.941
15 I 0.941 0.228 0.340
16 I 0.660 0.772 0.059
17 I 0.059 0.660 0.772
18 I 0.772 0.059 0.660
19 I 0.659 0.500 0.341
20 I 0.341 0.659 0.500